Below is a relaxed TmNi2O4 crystal, with properties calculated at the PBE with a Hubbard U level.

The value obtained for the total energy is -168.44 eV/cell. The magnetization is 3.0 μB per formula unit. The density of states at the Fermi level is 0.700 states/eV per atom. The value obtained for the theoretical density is 7.70 Mg/m³.

The structure belongs to space group I4_1/amd (No. 141, origin choice 2); the cell edges are 6.7623, 6.7623 and 6.6083 Å and the angles 90.00°, 90.00° and 90.00°. The distinct sites, in fractional coordinates, are Tm at (0.0000, 0.2500, 0.3750), Ni at (0.0000, 0.0000, 0.0000) and O at (0.0000, 0.0643, 0.7061).